No. 1
VASP calculation (GGA-PBE) on crystalline Tb2EuAl at its relaxed geometry.

It has space group P4/mmm (No. 123), with a = 4.898 Å, b = 4.898 Å, c = 4.728 Å, α = 90.00°, β = 90.00° and γ = 90.00°. The inequivalent atoms are Tb at (0.000, 0.500, 0.000), Eu at (0.000, 0.000, 0.500) and Al at (0.500, 0.500, 0.500).

Its density of states at the Fermi level is 4.2 states/eV per cell. The calculation puts the raw total energy at -23.69 eV per cell. For the formation energy, the calculation gives -0.41 eV per formula unit. As for the distance to the lowest polymorph of the same formula: 42 meV per atom. The value obtained for the total magnetization is 7.533 Bohr magnetons per cell.

No. 2
VASP calculation (GGA-PBE) on crystalline TbEuAl4 at its relaxed geometry.

It has space group F-43m (No. 216), with a = 7.967 Å, b = 7.967 Å, c = 7.967 Å, α = 90.00°, β = 90.00° and γ = 90.00°. The inequivalent atoms are Tb at (0.000, 0.000, 0.000), Eu at (0.250, 0.250, 0.750) and Al at (0.125, 0.125, 0.375).

Its density of states at the Fermi level is 21.9 states/eV per cell. The calculation puts the raw total energy at -130.20 eV per cell. For the formation energy, the calculation gives -2.67 eV per formula unit. The value obtained for the total magnetization is 29.489 Bohr magnetons per cell.

No. 3
VASP calculation (GGA-PBE) on crystalline Tb2EuAl at its relaxed geometry.

It has space group Fm-3m (No. 225), with a = 7.660 Å, b = 7.660 Å, c = 7.660 Å, α = 90.00°, β = 90.00° and γ = 90.00°. The inequivalent atoms are Tb at (0.250, 0.250, 0.250), Eu at (0.000, 0.000, 0.000) and Al at (0.000, 0.000, 0.500).

Its density of states at the Fermi level is 17.7 states/eV per cell. The calculation puts the raw total energy at -93.65 eV per cell. For the formation energy, the calculation gives -0.14 eV per formula unit. As for the distance to the lowest polymorph of the same formula: 111 meV per atom. The value obtained for the total magnetization is 29.456 Bohr magnetons per cell.

No. 4
VASP calculation (GGA-PBE) on crystalline TbEu2Al at its relaxed geometry.

It has space group Fm-3m (No. 225), with a = 7.845 Å, b = 7.845 Å, c = 7.845 Å, α = 90.00°, β = 90.00° and γ = 90.00°. The inequivalent atoms are Tb at (0.000, 0.000, 0.000), Eu at (0.250, 0.250, 0.250) and Al at (0.000, 0.000, 0.500).

Its density of states at the Fermi level is 12.9 states/eV per cell. The calculation puts the raw total energy at -115.06 eV per cell. For the formation energy, the calculation gives 0.16 eV per formula unit. As for the distance to the lowest polymorph of the same formula: 99 meV per atom. The value obtained for the total magnetization is 57.214 Bohr magnetons per cell.

No. 5
VASP calculation (GGA-PBE) on crystalline TbEuAlTl at its relaxed geometry.

It has space group F-43m (No. 216), with a = 7.602 Å, b = 7.602 Å, c = 7.602 Å, α = 90.00°, β = 90.00° and γ = 90.00°. The inequivalent atoms are Tb at (0.000, 0.000, 0.000), Eu at (0.000, 0.000, 0.500), Al at (0.250, 0.250, 0.250) and Tl at (0.250, 0.250, 0.750).

Its density of states at the Fermi level is 30.8 states/eV per cell. The calculation puts the raw total energy at -88.77 eV per cell. For the formation energy, the calculation gives -1.18 eV per formula unit. The value obtained for the total magnetization is 28.896 Bohr magnetons per cell.

No. 6
VASP calculation (GGA-PBE) on crystalline TbEuYAl at its relaxed geometry.

It has space group F-43m (No. 216), with a = 7.664 Å, b = 7.664 Å, c = 7.664 Å, α = 90.00°, β = 90.00° and γ = 90.00°. The inequivalent atoms are Tb at (0.000, 0.000, 0.000), Eu at (0.250, 0.250, 0.250), Y at (0.000, 0.000, 0.500) and Al at (0.250, 0.250, 0.750).

Its density of states at the Fermi level is 18.2 states/eV per cell. The calculation puts the raw total energy at -101.04 eV per cell. For the formation energy, the calculation gives -0.15 eV per formula unit. The value obtained for the total magnetization is 29.580 Bohr magnetons per cell.

No. 7
VASP calculation (GGA-PBE) on crystalline EuAl3Tc at its relaxed geometry.

It has space group Pm-3m (No. 221), with a = 4.796 Å, b = 4.796 Å, c = 4.796 Å, α = 90.00°, β = 90.00° and γ = 90.00°. The inequivalent atoms are Eu at (0.000, 0.000, 0.000), Al at (0.000, 0.500, 0.500) and Tc at (0.500, 0.500, 0.500).

Its density of states at the Fermi level is 6.8 states/eV per cell. The calculation puts the raw total energy at -33.46 eV per cell. For the formation energy, the calculation gives -1.59 eV per formula unit. The value obtained for the total magnetization is 7.128 Bohr magnetons per cell.

No. 8
VASP calculation (GGA-PBE) on crystalline EuAlTe2 at its relaxed geometry.

It has space group R-3m (No. 166, hexagonal axes), with a = 4.0998 Å, b = 4.0998 Å, c = 28.3598 Å, α = 90.00°, β = 90.00° and γ = 120.00°. The inequivalent atoms are Eu at (0.0000, 0.0000, 0.0000), Al at (0.0000, 0.0000, 0.5000) and Te at (0.0000, 0.0000, 0.1124).

Its density of states at the Fermi level is 30.5 states/eV per cell. The calculation puts the raw total energy at -66.15 eV per cell. The uncorrected formation energy comes out at -0.438 eV per atom. The value obtained for the total magnetization is 23.313 Bohr magnetons per cell.

No. 9
VASP calculation (GGA-PBE) on crystalline Eu2ThAl at its relaxed geometry.

It has space group Fm-3m (No. 225), with a = 7.817 Å, b = 7.817 Å, c = 7.817 Å, α = 90.00°, β = 90.00° and γ = 90.00°. The inequivalent atoms are Eu at (0.250, 0.250, 0.250), Th at (0.000, 0.000, 0.000) and Al at (0.000, 0.000, 0.500).

Its density of states at the Fermi level is 22.6 states/eV per cell. The calculation puts the raw total energy at -123.51 eV per cell. For the formation energy, the calculation gives 0.83 eV per formula unit. The value obtained for the total magnetization is 65.492 Bohr magnetons per cell.

No. 10
VASP calculation (GGA-PBE) on crystalline EuThAl4 at its relaxed geometry.

It has space group F-43m (No. 216), with a = 8.031 Å, b = 8.031 Å, c = 8.031 Å, α = 90.00°, β = 90.00° and γ = 90.00°. The inequivalent atoms are Eu at (0.000, 0.000, 0.000), Th at (0.250, 0.250, 0.750) and Al at (0.125, 0.125, 0.375).

Its density of states at the Fermi level is 20.3 states/eV per cell. The calculation puts the raw total energy at -140.26 eV per cell. For the formation energy, the calculation gives -2.40 eV per formula unit. The value obtained for the total magnetization is 29.254 Bohr magnetons per cell.

No. 11
VASP calculation (GGA-PBE) on crystalline EuThAlTl at its relaxed geometry.

It has space group F-43m (No. 216), with a = 7.678 Å, b = 7.678 Å, c = 7.678 Å, α = 90.00°, β = 90.00° and γ = 90.00°. The inequivalent atoms are Eu at (0.000, 0.000, 0.000), Th at (0.000, 0.000, 0.500), Al at (0.250, 0.250, 0.750) and Tl at (0.250, 0.250, 0.250).

Its density of states at the Fermi level is 24.6 states/eV per cell. The calculation puts the raw total energy at -97.84 eV per cell. For the formation energy, the calculation gives -0.66 eV per formula unit. The value obtained for the total magnetization is 28.648 Bohr magnetons per cell.

No. 12
VASP calculation (GGA-PBE) on crystalline EuThAlZn at its relaxed geometry.

It has space group F-43m (No. 216), with a = 7.441 Å, b = 7.441 Å, c = 7.441 Å, α = 90.00°, β = 90.00° and γ = 90.00°. The inequivalent atoms are Eu at (0.000, 0.000, 0.000), Th at (0.000, 0.000, 0.500), Al at (0.250, 0.250, 0.750) and Zn at (0.250, 0.250, 0.250).

Its density of states at the Fermi level is 18.4 states/eV per cell. The calculation puts the raw total energy at -93.60 eV per cell. For the formation energy, the calculation gives -0.69 eV per formula unit. The value obtained for the total magnetization is 29.568 Bohr magnetons per cell.

Among the records above, which one has the lowest raw total energy?
EuThAl4

The lowest raw total energy belongs to which entry?
EuThAl4